DFT (PBE) results for Pu2AgBi3 after structural relaxation.

a = 6.956 Å, b = 6.956 Å, c = 6.956 Å
α = 137.36°, β = 124.59°, γ = 72.34°
Fractional coordinates of all 6 atoms:
Pu: 0.174 0.174 0.000
Pu: 0.826 0.826 0.000
Ag: 0.500 0.500 0.000
Bi: 0.000 0.500 0.500
Bi: 0.348 0.848 0.500
Bi: 0.652 0.152 0.500

## Properties
space-group type	Immm (71)
total energy	-7.2582	eV/atom


DFT (PBE) results for NaTl6Hg2 after structural relaxation.

a = 6.470 Å, b = 6.470 Å, c = 11.268 Å
α = 106.67°, β = 106.67°, γ = 35.72°
Fractional coordinates of all 9 atoms:
Na: 0.000 0.000 0.000
Tl: 0.014 0.014 0.339
Tl: 0.323 0.323 0.426
Tl: 0.331 0.331 0.118
Tl: 0.669 0.669 0.882
Tl: 0.677 0.677 0.574
Tl: 0.986 0.986 0.661
Hg: 0.344 0.344 0.796
Hg: 0.656 0.656 0.204

## Properties
space-group type	C2/m (12)
total energy	-1.8341	eV/atom


DFT (PBE) results for TbY2ThSe4 after structural relaxation.

a = 7.157 Å, b = 4.079 Å, c = 7.172 Å
α = 90.00°, β = 109.03°, γ = 90.00°
Fractional coordinates of all 8 atoms:
Tb: 0.000 0.000 0.000
Y: 0.000 0.500 0.500
Y: 0.500 0.000 0.500
Th: 0.500 0.500 0.000
Se: 0.241 0.000 0.741
Se: 0.246 0.500 0.255
Se: 0.754 0.500 0.745
Se: 0.759 0.000 0.259

## Properties
space-group type	P2/m (10)
formation energy from raw total energies	-163.68	kJ per mole of atoms


DFT (PBE) results for CsRb2InI4 after structural relaxation.

a = 9.139 Å, b = 5.289 Å, c = 9.145 Å
α = 90.00°, β = 109.46°, γ = 90.00°
Fractional coordinates of all 8 atoms:
Cs: 0.000 0.000 0.000
Rb: 0.500 0.000 0.500
Rb: 0.500 0.500 0.000
In: 0.000 0.500 0.500
I: 0.244 0.000 0.735
I: 0.253 0.500 0.265
I: 0.747 0.500 0.735
I: 0.756 0.000 0.265

## Properties
space-group type	P2/m (10)
formation energy from raw total energies	-119.36	kJ per mole of atoms


DFT (PBE) results for PuBePtO6 after structural relaxation.

a = 5.035 Å, b = 5.035 Å, c = 8.769 Å
α = 90.00°, β = 90.00°, γ = 120.00°
Fractional coordinates of all 18 atoms:
Pu: 0.333 0.667 0.250
Pu: 0.667 0.333 0.750
Be: 0.333 0.667 0.750
Be: 0.667 0.333 0.250
Pt: 0.000 0.000 0.000
Pt: 0.000 0.000 0.500
O: 0.028 0.352 0.629
O: 0.028 0.675 0.871
O: 0.325 0.352 0.871
O: 0.325 0.972 0.629
O: 0.352 0.028 0.129
O: 0.352 0.325 0.371
O: 0.648 0.675 0.629
O: 0.648 0.972 0.871
O: 0.675 0.028 0.371
O: 0.675 0.648 0.129
O: 0.972 0.325 0.129
O: 0.972 0.648 0.371

## Properties
space-group type	P-31c (163)
formation energy from raw total energies	-157.51	kJ per mole of atoms


no.,total magnetic moment (μB per cell)
1,10.79
2,0.00
3,0.00
4,0.00
5,4.00